BaMg3Pt: optimized geometry, PBE.

extended XYZ file:
```
5
Lattice="5.1812 0.0000 0.0000 0.0000 5.1812 0.0000 0.0000 0.0000 5.1812" Properties=species:S:1:pos:R:3 pbc="T T T"
Ba 0.0000 0.0000 0.0000
Mg 0.0000 2.5906 2.5906
Mg 2.5906 0.0000 2.5906
Mg 2.5906 2.5906 0.0000
Pt 2.5906 2.5906 2.5906
```

**Distance to the lowest polymorph of the same formula**: 0 meV per atom
**Space-group type**: No. 221

=====

Ba2MgPt: optimized geometry, PBE.

extended XYZ file:
```
4
Lattice="-2.4586 2.4586 5.2519 2.4586 -2.4586 5.2519 2.4586 2.4586 -5.2519" Properties=species:S:1:pos:R:3 pbc="T T T"
Ba 0.0000 0.0000 0.0000
Ba 0.0000 2.4586 2.6259
Mg 2.4586 0.0000 2.6259
Pt 0.0000 0.0000 5.2519
```

**Space-group type**: No. 119

=====

BaMg3Pt: optimized geometry, PBE.

extended XYZ file:
```
5
Lattice="6.1912 0.0000 0.0000 0.0000 6.1912 0.0000 0.0000 0.0000 6.1912" Properties=species:S:1:pos:R:3 pbc="T T T"
Ba 0.0000 0.0000 0.0000
Mg 0.0000 0.0000 3.0956
Mg 0.0000 3.0956 0.0000
Mg 3.0956 0.0000 0.0000
Pt 3.0956 3.0956 3.0956
```

**Distance to the lowest polymorph of the same formula**: 2013 meV per atom
**Space-group type**: No. 221

=====

BaMgPt: optimized geometry, PBE.

extended XYZ file:
```
3
Lattice="-1.8373 1.8373 5.9705 1.8373 -1.8373 5.9705 1.8373 1.8373 -5.9705" Properties=species:S:1:pos:R:3 pbc="T T T"
Ba 0.0000 0.0000 0.0000
Mg 0.0000 0.0000 8.7413
Pt 0.0000 0.0000 3.7504
```

**Space-group type**: No. 107

=====

Ba2MgPt: optimized geometry, PBE.

extended XYZ file:
```
4
Lattice="3.9639 0.0000 0.0000 0.0000 4.0109 0.0000 0.0000 0.0000 8.6824" Properties=species:S:1:pos:R:3 pbc="T T T"
Ba 0.0000 0.0000 1.8160
Ba 0.0000 0.0000 6.8665
Mg 1.9819 2.0055 4.3412
Pt 1.9819 2.0055 0.0000
```

**Space-group type**: No. 47

=====

BaMgPt: optimized geometry, PBE.

extended XYZ file:
```
6
Lattice="4.4842 0.0000 0.0000 0.0000 4.4842 0.0000 0.0000 0.0000 8.2493" Properties=species:S:1:pos:R:3 pbc="T T T"
Ba 1.1210 1.1210 1.3255
Ba 3.3631 3.3631 6.9238
Mg 1.1210 3.3631 4.1247
Mg 3.3631 1.1210 4.1247
Pt 1.1210 1.1210 5.7345
Pt 3.3631 3.3631 2.5148
```

**Space-group type**: No. 129

=====

BaMgPt: optimized geometry, PBE.

extended XYZ file:
```
6
Lattice="4.2947 0.0000 0.0000 -2.1266 4.1997 0.0000 -0.0588 -2.5350 10.8052" Properties=species:S:1:pos:R:3 pbc="T T T"
Ba -0.0066 1.2476 2.1337
Ba 2.1159 0.4171 8.6715
Mg -0.0181 1.6904 6.0460
Mg 2.1274 -0.0257 4.7593
Pt -0.0346 -0.9004 6.7137
Pt 2.1439 2.5651 4.0915
```

**Space-group type**: No. 2

=====

BaMgPt: optimized geometry, PBE.

extended XYZ file:
```
3
Lattice="0.0000 3.6075 3.6075 3.6075 0.0000 3.6075 3.6075 3.6075 0.0000" Properties=species:S:1:pos:R:3 pbc="T T T"
Ba 0.0000 0.0000 0.0000
Mg 3.6075 3.6075 3.6075
Pt 1.8038 1.8038 1.8038
```

**Space-group type**: No. 216

=====

no.,energy of formation (eV per formula unit)
1,-2.215
2,-0.510
3,7.848
4,-1.432
5,-1.444
6,-2.122
7,-1.813
8,-1.365